(1)
First-principles (PBE) data for crystalline PrBe2CuPd5 at its relaxed geometry, as listed in the Alexandria database.

Cell: 4.4288 4.4288 7.0882 Å, 90.00 90.00 90.00°
Fractional positions:
Pd: 0.5000 0.0000 0.2074
Pr: 0.0000 0.0000 0.5000
Cu: 0.0000 0.0000 0.0000
Be: 0.5000 0.5000 0.8389
Be: 0.5000 0.5000 0.1611
Pd: 0.5000 0.0000 0.7926
Pd: 0.5000 0.5000 0.5000
Pd: 0.0000 0.5000 0.2074
Pd: 0.0000 0.5000 0.7926

Output
E_form in eV/atom: -0.4298
Magnetization in μB/f.u.: 0.00
V in Å³ per cell: 139.0


(2)
First-principles (PBE) data for crystalline LiSbPt at its relaxed geometry, as listed in the Alexandria database.

Cell: 4.5758 4.5758 3.0691 Å, 90.00 90.00 120.00°
Fractional positions:
Li: 0.0000 0.0000 0.9992
Pt: 0.3333 0.6667 0.5005
Sb: 0.6667 0.3333 0.5003

Output
Energy relative to the elements, uncorrected in eV per atom: -0.51
Magnetization in μB/f.u.: 0.00
V in Å³ per cell: 55.7


(3)
First-principles (PBE) data for crystalline Mg5Tl3In3 at its relaxed geometry, as listed in the Alexandria database.

Cell: 3.3383 10.2259 10.2259 Å, 120.00 90.00 90.00°
Fractional positions:
Mg: 0.5000 0.0000 0.8321
In: 0.5000 0.0000 0.3360
In: 0.5000 0.6640 0.6640
In: 0.5000 0.3360 0.0000
Mg: 0.5000 0.8321 0.0000
Tl: 0.0000 0.0000 0.5913
Mg: 0.5000 0.6667 0.3333
Tl: 0.0000 0.4087 0.4087
Mg: 0.5000 0.1679 0.1679
Tl: 0.0000 0.5913 0.0000
Mg: 0.5000 0.3333 0.6667

Output
E_form in eV/atom: 0.1088
Magnetization in μB/f.u.: 0.00
V in Å³ per cell: 302.3


(4)
First-principles (PBE) data for crystalline Sm7Zn2Co2 at its relaxed geometry, as listed in the Alexandria database.

Cell: 6.7435 7.0170 6.7435 Å, 90.00 110.88 90.00°
Fractional positions:
Sm: 0.0002 0.7460 0.4997
Zn: 0.1647 0.5000 0.1647
Sm: 0.5003 0.7460 0.9998
Sm: 0.4998 0.2459 0.5002
Co: 0.7019 0.0000 0.2981
Sm: 0.9998 0.2540 0.5003
Zn: 0.8353 0.5000 0.8353
Co: 0.2981 0.0000 0.7019
Sm: 0.0000 0.0000 0.0000
Sm: 0.4997 0.2540 0.0002
Sm: 0.5002 0.7541 0.4998

Output
E_form in eV/atom: -0.0682
Magnetization in μB/f.u.: 0.00
V in Å³ per cell: 298.1


(5)
First-principles (PBE) data for crystalline AlSi2PdW at its relaxed geometry, as listed in the Alexandria database.

Cell: 4.6743 4.8400 4.6743 Å, 90.00 90.00 90.00°
Fractional positions:
Al: 0.0000 0.5000 0.0000
W: 0.0000 0.0000 0.0000
Pd: 0.5000 0.5000 0.5000
Si: 0.0000 0.0000 0.5000
Si: 0.5000 0.0000 0.0000

Output
Energy relative to the elements, uncorrected in eV per atom: 0.70
Magnetization in μB/f.u.: 0.00
V in Å³ per cell: 105.8


(6)
First-principles (PBE) data for crystalline TaCu2Sb2 at its relaxed geometry, as listed in the Alexandria database.

Cell: 7.0959 7.0959 3.5555 Å, 90.00 90.00 90.00°
Fractional positions:
Ta: 0.0000 0.0000 0.0000
Sb: 0.6799 0.8201 0.5000
Cu: 0.3788 0.8788 0.0000
Cu: 0.1212 0.3788 0.0000
Cu: 0.8788 0.6212 0.0000
Sb: 0.1799 0.6799 0.5000
Sb: 0.3201 0.1799 0.5000
Ta: 0.5000 0.5000 0.0000
Cu: 0.6212 0.1212 0.0000
Sb: 0.8201 0.3201 0.5000

Output
Energy relative to the elements, uncorrected in eV per atom: 0.25
Magnetization in μB/f.u.: 0.00
V in Å³ per cell: 179.0


(7)
First-principles (PBE) data for crystalline Th8SiTe4Se3 at its relaxed geometry, as listed in the Alexandria database.

Cell: 8.4880 8.9242 8.4872 Å, 118.39 120.00 90.00°
Fractional positions:
Te: 0.0000 0.0000 0.0000
Th: 0.2537 0.2813 0.0175
Th: 0.7624 0.2801 0.5248
Te: 0.5000 0.0000 0.0000
Th: 0.7638 0.2813 0.0175
Se: 0.5000 0.5000 0.0000
Si: 0.0000 0.5000 0.0000
Te: 0.0000 0.0000 0.5000
Th: 0.2362 0.7187 0.9825
Th: 0.7463 0.7187 0.9825
Te: 0.5000 0.0000 0.5000
Th: 0.2592 0.2771 0.5184
Th: 0.2376 0.7199 0.4752
Se: 0.5000 0.5000 0.5000
Th: 0.7408 0.7229 0.4816
Se: 0.0000 0.5000 0.5000

Output
Energy relative to the elements, uncorrected in eV per atom: -1.24
Magnetization in μB/f.u.: 0.00
V in Å³ per cell: 465.3


(8)
First-principles (PBE) data for crystalline SrTlCr at its relaxed geometry, as listed in the Alexandria database.

Cell: 5.0718 5.0718 5.0718 Å, 60.00 60.00 60.00°
Fractional positions:
Cr: 0.7500 0.7500 0.7500
Sr: 0.0000 0.0000 0.0000
Tl: 0.5000 0.5000 0.5000

Output
E_form in eV/atom: 0.4610
Magnetization in μB/f.u.: 3.86
V in Å³ per cell: 92.3


(9)
First-principles (PBE) data for crystalline Zn3FeRe at its relaxed geometry, as listed in the Alexandria database.

Cell: 4.4332 4.4332 4.4332 Å, 90.00 90.00 90.00°
Fractional positions:
Fe: 0.0000 0.0000 0.0000
Re: 0.5000 0.5000 0.5000
Zn: 0.5000 0.0000 0.0000
Zn: 0.0000 0.0000 0.5000
Zn: 0.0000 0.5000 0.0000

Output
E_form in eV/atom: 1.2758
Magnetization in μB/f.u.: 4.70
V in Å³ per cell: 87.1


(10)
First-principles (PBE) data for crystalline CsSmHgCl6 at its relaxed geometry, as listed in the Alexandria database.

Cell: 7.1338 7.1337 7.7093 Å, 90.00 90.00 60.00°
Fractional positions:
Cl: 0.3824 0.9997 0.7048
Hg: 0.3333 0.3333 0.5000
Sm: 0.6666 0.6667 0.5000
Cl: 0.6178 0.3825 0.7048
Cl: 0.9997 0.3825 0.2952
Cl: 0.3825 0.6178 0.2952
Cl: 0.6178 0.9997 0.2952
Cs: 0.0000 0.0000 0.0000
Cl: 0.9996 0.6179 0.7048

Output
Energy relative to the elements, uncorrected in eV per atom: -1.67
Magnetization in μB/f.u.: 0.00
V in Å³ per cell: 339.8